First-principles (PBE) data for SrTc2Ir after structural relaxation, as listed in Alexandria via LeMat-Bulk.

Cell and atoms, written as CIF:
```
data_SrTc2Ir
_chemical_formula_sum 'Sr4 Tc8 Ir4'
_cell_length_a 6.5658
_cell_length_b 6.5658
_cell_length_c 6.5658
_cell_angle_alpha 90.00
_cell_angle_beta 90.00
_cell_angle_gamma 90.00
_symmetry_space_group_name_H-M 'F -4 3 m'
_symmetry_Int_Tables_number 216
_symmetry_space_group_name_Hall 'F -4 2 3'
loop_
_atom_site_label
_atom_site_type_symbol
_atom_site_fract_x
_atom_site_fract_y
_atom_site_fract_z
Sr1 Sr 0.0000 0.0000 0.0000
Tc1 Tc 0.0000 0.0000 0.5000
Tc2 Tc 0.2500 0.2500 0.7500
Ir1 Ir 0.2500 0.2500 0.2500
```

Computed properties:
The raw total energy comes out at -112.72 eV per cell. As for the density of states at the Fermi level: 5.0 states/eV/f.u. The calculation puts the energy relative to the lowest polymorph listed for this composition at 393 meV per atom. As for the formation energy: 0.774 eV per atom.

=====

First-principles (PBE) data for La3NdY6Ho2 after structural relaxation, as listed in Alexandria via LeMat-Bulk.

Cell and atoms, written as CIF:
```
data_La3NdY6Ho2
_chemical_formula_sum 'La6 Nd2 Y12 Ho4'
_cell_length_a 6.2707
_cell_length_b 10.8616
_cell_length_c 11.9221
_cell_angle_alpha 90.00
_cell_angle_beta 100.08
_cell_angle_gamma 90.00
_symmetry_space_group_name_H-M 'C 1 2/m 1'
_symmetry_Int_Tables_number 12
_symmetry_space_group_name_Hall '-C 2y'
loop_
_atom_site_label
_atom_site_type_symbol
_atom_site_fract_x
_atom_site_fract_y
_atom_site_fract_z
La1 La 0.0000 0.0000 0.0000
La2 La 0.0000 0.3333 0.0000
Nd1 Nd 0.0000 0.5000 0.5000
Y1 Y 0.2478 0.0000 0.7458
Y2 Y 0.2488 0.3330 0.7458
Ho1 Ho 0.0000 0.1668 0.5000
```

Computed properties:
The raw total energy comes out at -134.56 eV per cell. As for the density of states at the Fermi level: 16.5 states/eV/f.u. As for the formation energy: 0.018 eV per atom.

=====

First-principles (PBE) data for Y4GaSbC after structural relaxation, as listed in Alexandria via LeMat-Bulk.

Cell and atoms, written as CIF:
```
data_Y4GaSbC
_chemical_formula_sum 'Y16 Ga4 Sb4 C4'
_cell_length_a 6.7444
_cell_length_b 15.5914
_cell_length_c 6.7438
_cell_angle_alpha 90.00
_cell_angle_beta 90.00
_cell_angle_gamma 90.00
_symmetry_space_group_name_H-M 'C m c m'
_symmetry_Int_Tables_number 63
_symmetry_space_group_name_Hall '-C 2c 2'
loop_
_atom_site_label
_atom_site_type_symbol
_atom_site_fract_x
_atom_site_fract_y
_atom_site_fract_z
Y1 Y 0.0000 0.0825 0.2500
Y2 Y 0.0000 0.4088 0.2500
Y3 Y 0.2500 0.2500 0.0000
Ga1 Ga 0.0000 0.1157 0.7500
Sb1 Sb 0.0000 0.3917 0.7500
C1 C 0.0000 0.2497 0.2500
```

Computed properties:
The raw total energy comes out at -187.53 eV per cell. As for the density of states at the Fermi level: 1.1 states/eV/f.u. The formation energy (no corrections) is -664.7 meV/atom.

=====

First-principles (PBE) data for TaTe6Mo2 after structural relaxation, as listed in Alexandria via LeMat-Bulk.

Cell and atoms, written as CIF:
```
data_TaTe6Mo2
_chemical_formula_sum 'Ta2 Te12 Mo4'
_cell_length_a 18.2937
_cell_length_b 3.5808
_cell_length_c 8.5955
_cell_angle_alpha 90.00
_cell_angle_beta 115.78
_cell_angle_gamma 90.00
_symmetry_space_group_name_H-M 'C 1 2/m 1'
_symmetry_Int_Tables_number 12
_symmetry_space_group_name_Hall '-C 2y'
loop_
_atom_site_label
_atom_site_type_symbol
_atom_site_fract_x
_atom_site_fract_y
_atom_site_fract_z
Ta1 Ta 0.0000 0.0000 0.0000
Te1 Te 0.0083 0.5000 0.2552
Te2 Te 0.1649 0.0000 0.5926
Te3 Te 0.1675 0.0000 0.1043
Mo1 Mo 0.1824 0.5000 0.3697
```

Computed properties:
The raw total energy comes out at -108.81 eV per cell. As for the density of states at the Fermi level: 2.5 states/eV/f.u. The calculation puts the energy relative to the lowest polymorph listed for this composition at 0 meV per atom. The formation energy (no corrections) is -226.9 meV/atom.

=====

First-principles (PBE) data for YScCdCu after structural relaxation, as listed in Alexandria via LeMat-Bulk.

Cell and atoms, written as CIF:
```
data_YScCdCu
_chemical_formula_sum 'Y4 Sc4 Cd4 Cu4'
_cell_length_a 7.0575
_cell_length_b 7.0575
_cell_length_c 7.0575
_cell_angle_alpha 90.00
_cell_angle_beta 90.00
_cell_angle_gamma 90.00
_symmetry_space_group_name_H-M 'F -4 3 m'
_symmetry_Int_Tables_number 216
_symmetry_space_group_name_Hall 'F -4 2 3'
loop_
_atom_site_label
_atom_site_type_symbol
_atom_site_fract_x
_atom_site_fract_y
_atom_site_fract_z
Y1 Y 0.0000 0.0000 0.0000
Sc1 Sc 0.0000 0.0000 0.5000
Cd1 Cd 0.2500 0.2500 0.7500
Cu1 Cu 0.2500 0.2500 0.2500
```

Computed properties:
The raw total energy comes out at -74.68 eV per cell. As for the density of states at the Fermi level: 4.4 states/eV/f.u. The calculation puts the energy relative to the lowest polymorph listed for this composition at 63 meV per atom. As for the formation energy: -0.216 eV per atom.

=====

First-principles (PBE) data for Re2NiAs after structural relaxation, as listed in Alexandria via LeMat-Bulk.

Cell and atoms, written as CIF:
```
data_Re2NiAs
_chemical_formula_sum 'Re6 Ni3 As3'
_cell_length_a 2.8362
_cell_length_b 2.8362
_cell_length_c 24.4835
_cell_angle_alpha 90.00
_cell_angle_beta 90.00
_cell_angle_gamma 120.00
_symmetry_space_group_name_H-M 'R -3 m'
_symmetry_Int_Tables_number 166
_symmetry_space_group_name_Hall '-R 3 2"'
loop_
_atom_site_label
_atom_site_type_symbol
_atom_site_fract_x
_atom_site_fract_y
_atom_site_fract_z
Re1 Re 0.0000 0.0000 0.2502
Ni1 Ni 0.0000 0.0000 0.5000
As1 As 0.0000 0.0000 0.0000
```

Computed properties:
The raw total energy comes out at -101.91 eV per cell. As for the density of states at the Fermi level: 2.6 states/eV/f.u. As for the formation energy: 0.340 eV per atom.

=====

First-principles (PBE) data for Pu3UGa after structural relaxation, as listed in Alexandria via LeMat-Bulk.

Cell and atoms, written as CIF:
```
data_Pu3UGa
_chemical_formula_sum 'Pu24 U8 Ga8'
_cell_length_a 9.5267
_cell_length_b 11.3171
_cell_length_c 8.1317
_cell_angle_alpha 90.00
_cell_angle_beta 90.00
_cell_angle_gamma 90.00
_symmetry_space_group_name_H-M 'C m c e'
_symmetry_Int_Tables_number 64
_symmetry_space_group_name_Hall '-C 2ac 2'
loop_
_atom_site_label
_atom_site_type_symbol
_atom_site_fract_x
_atom_site_fract_y
_atom_site_fract_z
Pu1 Pu 0.0000 0.0556 0.1667
Pu2 Pu 0.1905 0.1243 0.5728
U1 U 0.2500 0.1322 0.2500
Ga1 Ga 0.0000 0.2116 0.8583
```

Computed properties:
The raw total energy comes out at -460.27 eV per cell. As for the density of states at the Fermi level: 13.7 states/eV/f.u. As for the formation energy: -0.045 eV per atom.

=====

First-principles (PBE) data for In3Ga7 after structural relaxation, as listed in Alexandria via LeMat-Bulk.

Cell and atoms, written as CIF:
```
data_In3Ga7
_chemical_formula_sum 'In6 Ga14'
_cell_length_a 12.4341
_cell_length_b 4.3540
_cell_length_c 8.9089
_cell_angle_alpha 90.00
_cell_angle_beta 111.61
_cell_angle_gamma 90.00
_symmetry_space_group_name_H-M 'C 1 2/m 1'
_symmetry_Int_Tables_number 12
_symmetry_space_group_name_Hall '-C 2y'
loop_
_atom_site_label
_atom_site_type_symbol
_atom_site_fract_x
_atom_site_fract_y
_atom_site_fract_z
In1 In 0.0000 0.0000 0.0000
In2 In 0.2335 0.0000 0.8224
Ga1 Ga 0.0000 0.0000 0.5000
Ga2 Ga 0.0883 0.5000 0.4023
Ga3 Ga 0.0887 0.5000 0.8601
Ga4 Ga 0.2056 0.0000 0.3545
```

Computed properties:
The raw total energy comes out at -57.66 eV per cell. As for the density of states at the Fermi level: 2.8 states/eV/f.u. As for the formation energy: 0.057 eV per atom.

=====

First-principles (PBE) data for GaFeN3 after structural relaxation, as listed in Alexandria via LeMat-Bulk.

Cell and atoms, written as CIF:
```
data_GaFeN3
_chemical_formula_sum 'Ga1 Fe1 N3'
_cell_length_a 3.7088
_cell_length_b 3.7088
_cell_length_c 3.7088
_cell_angle_alpha 90.00
_cell_angle_beta 90.00
_cell_angle_gamma 90.00
_symmetry_space_group_name_H-M 'P m -3 m'
_symmetry_Int_Tables_number 221
_symmetry_space_group_name_Hall '-P 4 2 3'
loop_
_atom_site_label
_atom_site_type_symbol
_atom_site_fract_x
_atom_site_fract_y
_atom_site_fract_z
Ga1 Ga 0.0000 0.0000 0.0000
Fe1 Fe 0.5000 0.5000 0.5000
N1 N 0.0000 0.5000 0.5000
```

Computed properties:
The raw total energy comes out at -30.43 eV per cell. As for the density of states at the Fermi level: 6.1 states/eV/f.u. The formation energy (no corrections) is 1207.2 meV/atom.

=====

First-principles (PBE) data for Mn12Fe2Co5 after structural relaxation, as listed in Alexandria via LeMat-Bulk.

Cell and atoms, written as CIF:
```
data_Mn12Fe2Co5
_chemical_formula_sum 'Mn24 Fe4 Co10'
_cell_length_a 10.8035
_cell_length_b 7.1675
_cell_length_c 5.7115
_cell_angle_alpha 90.00
_cell_angle_beta 92.00
_cell_angle_gamma 90.00
_symmetry_space_group_name_H-M 'C 1 2/m 1'
_symmetry_Int_Tables_number 12
_symmetry_space_group_name_Hall '-C 2y'
loop_
_atom_site_label
_atom_site_type_symbol
_atom_site_fract_x
_atom_site_fract_y
_atom_site_fract_z
Mn1 Mn 0.0563 0.0000 0.2104
Mn2 Mn 0.1014 0.2221 0.8886
Mn3 Mn 0.1400 0.5000 0.6110
Mn4 Mn 0.1910 0.2698 0.2912
Fe1 Fe 0.0000 0.2511 0.5000
Co1 Co 0.0000 0.5000 0.0000
Co2 Co 0.1539 0.0000 0.5894
Co3 Co 0.2387 0.5000 0.9904
```

Computed properties:
The raw total energy comes out at -318.32 eV per cell. As for the density of states at the Fermi level: 23.4 states/eV/f.u. As for the formation energy: 0.175 eV per atom.

=====

First-principles (PBE) data for Na4Y3NpO8 after structural relaxation, as listed in Alexandria via LeMat-Bulk.

Cell and atoms, written as CIF:
```
data_Na4Y3NpO8
_chemical_formula_sum 'Na12 Y9 Np3 O24'
_cell_length_a 6.8965
_cell_length_b 6.8965
_cell_length_c 16.8716
_cell_angle_alpha 90.00
_cell_angle_beta 90.00
_cell_angle_gamma 120.00
_symmetry_space_group_name_H-M 'R -3 m'
_symmetry_Int_Tables_number 166
_symmetry_space_group_name_Hall '-R 3 2"'
loop_
_atom_site_label
_atom_site_type_symbol
_atom_site_fract_x
_atom_site_fract_y
_atom_site_fract_z
Na1 Na 0.0000 0.0000 0.0000
Na2 Na 0.0000 0.5000 0.0000
Y1 Y 0.0000 0.5000 0.5000
Np1 Np 0.0000 0.0000 0.5000
O1 O 0.0000 0.0000 0.2371
O2 O 0.0023 0.5011 0.7616
```

Computed properties:
The raw total energy comes out at -357.59 eV per cell. As for the density of states at the Fermi level: 6.3 states/eV/f.u. The formation energy (no corrections) is -2620.2 meV/atom.

=====

First-principles (PBE) data for Ac4Tl7Cd after structural relaxation, as listed in Alexandria via LeMat-Bulk.

Cell and atoms, written as CIF:
```
data_Ac4Tl7Cd
_chemical_formula_sum 'Ac8 Tl14 Cd2'
_cell_length_a 14.3963
_cell_length_b 5.7653
_cell_length_c 12.2927
_cell_angle_alpha 90.00
_cell_angle_beta 121.74
_cell_angle_gamma 90.00
_symmetry_space_group_name_H-M 'C 1 2/m 1'
_symmetry_Int_Tables_number 12
_symmetry_space_group_name_Hall '-C 2y'
loop_
_atom_site_label
_atom_site_type_symbol
_atom_site_fract_x
_atom_site_fract_y
_atom_site_fract_z
Ac1 Ac 0.0854 0.0000 0.2769
Ac2 Ac 0.2337 0.0000 0.8292
Tl1 Tl 0.0000 0.0000 0.5000
Tl2 Tl 0.0842 0.5000 0.8175
Tl3 Tl 0.1261 0.0000 0.0271
Tl4 Tl 0.2197 0.5000 0.4150
Cd1 Cd 0.0000 0.5000 0.5000
```

Computed properties:
The raw total energy comes out at -70.77 eV per cell. As for the density of states at the Fermi level: 7.2 states/eV/f.u. As for the formation energy: -0.123 eV per atom.